Record 1
Sc3Nb4N8 | PBE | optimized geometry

Computed properties:
E_tot = -9.71 eV/atom
Calculated volume = 11.60 Å³ per atom
D(E_F) = 0.3333 states/eV/atom
Raw formation energy = -1.32 eV per atom
Magnetic moment = 0.00 μB/cell

a b c (Å): 6.2220 6.2494 6.2494
angles (deg): 90.43 119.47 119.47
Closest atoms and distances in Å follow each position.
Element x y z (fractional)
N 0.9982 0.2471 0.2471  4 Nb 2.18-2.22, 1 Sc 2.24
Nb 0.0000 0.0000 0.5000  6 N 2.20-2.23
Sc 0.5000 0.5000 0.0000  6 N 2.20-2.23
N 0.4741 0.2320 0.2320  2 Nb 2.11-2.16, 3 Sc 2.22-2.25
N 0.5000 0.7494 0.2506  3 Sc 2.20-2.21, 3 Nb 2.22-2.23
Sc 0.5000 0.0000 0.5000  6 N 2.20-2.23
Nb 0.5000 0.0000 0.0000  6 N 2.16-2.22
Nb 0.0000 0.0000 0.0000  6 N 2.11-2.18
N 0.5000 0.2506 0.7494  3 Sc 2.20-2.21, 3 Nb 2.22-2.23
Sc 0.5000 0.5000 0.5000  6 N 2.21-2.25
N 0.0018 0.7529 0.7529  4 Nb 2.18-2.22, 1 Sc 2.24
Nb 0.0000 0.5000 0.0000  6 N 2.20-2.23
N 0.0000 0.2438 0.7562  3 Nb 2.16-2.20, 2 Sc 2.23
N 0.0000 0.7562 0.2438  3 Nb 2.16-2.20, 2 Sc 2.23
N 0.5259 0.7680 0.7680  2 Nb 2.11-2.16, 3 Sc 2.22-2.25



Record 2
TlBF4 | PBE | optimized geometry

Computed properties:
E_tot = -5.37 eV/atom
Calculated volume = 17.92 Å³ per atom
Polymorph energy (0 for the lowest one) = 0.0274 eV per atom
D(E_F) = 0.0000 states/eV/atom
Raw formation energy = -2.62 eV per atom
Magnetic moment = 0.00 μB/cell

a b c (Å): 6.5485 6.5485 6.5485
angles (deg): 107.15 107.15 114.21
Closest atoms and distances in Å follow each position.
Element x y z (fractional)
F 0.6167 0.7650 0.1483  1 B 1.42
Tl 0.0000 0.0000 0.0000  8 F 2.89-2.96
Tl 0.7500 0.2500 0.5000  8 F 2.89-2.96
F 0.1333 0.7816 0.6483  1 B 1.42
F 0.1333 0.4850 0.3517  1 B 1.42
F 0.2350 0.3833 0.8517  1 B 1.42
F 0.2184 0.8667 0.3517  1 B 1.42
B 0.2500 0.7500 0.5000  4 F 1.42
F 0.5150 0.8667 0.6483  1 B 1.42
F 0.5316 0.3833 0.1483  1 B 1.42
B 0.5000 0.5000 0.0000  4 F 1.42
F 0.6167 0.4684 0.8517  1 B 1.42



Record 3
SmCoGe | PBE | optimized geometry

Computed properties:
E_tot = -6.02 eV/atom
Calculated volume = 19.46 Å³ per atom
D(E_F) = 1.1037 states/eV/atom
Magnetic moment = 0.10 μB/cell

a b c (Å): 3.9377 4.1377 4.1377
angles (deg): 120.00 90.00 90.00
Closest atoms and distances in Å follow each position.
Element x y z (fractional)
Sm 0.6666 0.6667 0.3333  6 Ge 3.10, 6 Co 3.10
Co 0.1666 0.0000 0.0000  3 Ge 2.39
Ge 0.1668 0.3333 0.6667  3 Co 2.39